(1)
Computed, not measured: crystalline Zn3Pt2 at its relaxed geometry at the GGA-PBEsol level of DFT.

extended XYZ file:
```
5
Lattice="4.222 0.000 0.000 -2.111 3.656 0.000 0.000 0.000 5.125" Properties=species:S:1:pos:R:3 pbc="T T T"
Zn 0.000 0.000 0.000
Zn 0.000 2.437 1.845
Zn 2.111 1.219 3.280
Pt 0.000 2.437 4.347
Pt 2.111 1.219 0.778
```

Calculated density = 12.3 g cm⁻³
Crystal system = trigonal
SG = P-3m1
Formation energy = -0.380 eV per atom
Total magnetization = 0.00 μB/f.u.

=====

(2)
Computed, not measured: crystalline Zn2Pt at its relaxed geometry at the GGA-PBEsol level of DFT.

extended XYZ file:
```
6
Lattice="4.328 0.000 0.000 -2.164 3.748 0.000 0.000 0.000 5.251" Properties=species:S:1:pos:R:3 pbc="T T T"
Zn 0.000 0.000 0.000
Zn 0.000 0.000 2.625
Zn 0.000 2.499 1.313
Zn 2.164 1.249 3.938
Pt 0.000 2.499 3.938
Pt 2.164 1.249 1.313
```

Calculated density = 12.7 g cm⁻³
Crystal system = hexagonal
SG = P6_3/mmc
Formation energy = -0.359 eV per atom
Total magnetization = 0.00 μB/f.u.

=====

(3)
Computed, not measured: crystalline ZnPt3 at its relaxed geometry at the GGA-PBEsol level of DFT.

extended XYZ file:
```
4
Lattice="1.380 0.797 8.818 -1.380 0.797 8.818 0.000 -1.593 8.818" Properties=species:S:1:pos:R:3 pbc="T T T"
Zn 0.000 0.000 0.000
Pt 0.000 0.000 6.747
Pt 0.000 0.000 13.227
Pt 0.000 0.000 19.706
```

Calculated density = 18.6 g cm⁻³
Crystal system = trigonal
SG = R-3m
Formation energy = -0.244 eV per atom
Total magnetization = 0.00 μB/f.u.

=====

(4)
Computed, not measured: crystalline Zn2Pt at its relaxed geometry at the GGA-PBEsol level of DFT.

extended XYZ file:
```
24
Lattice="0.000 5.657 5.657 5.657 0.000 5.657 5.657 5.657 0.000" Properties=species:S:1:pos:R:3 pbc="T T T"
Zn 0.000 0.000 0.000
Zn 2.828 2.828 0.000
Zn 2.828 0.000 2.828
Zn 4.243 4.243 2.039
Zn 4.243 2.039 4.243
Zn 6.446 4.243 4.243
Zn 7.071 7.071 4.868
Zn 7.071 4.868 7.071
Zn 9.275 7.071 7.071
Zn 0.000 2.828 2.828
Zn 2.039 4.243 4.243
Zn 4.243 6.446 4.243
Zn 4.243 4.243 6.446
Zn 4.868 7.071 7.071
Zn 7.071 9.275 7.071
Zn 7.071 7.071 9.275
Pt 8.818 5.325 5.325
Pt 2.496 2.496 2.496
Pt 5.989 5.989 2.496
Pt 5.989 2.496 5.989
Pt 5.325 8.818 5.325
Pt 5.325 5.325 8.818
Pt 8.818 8.818 8.818
Pt 2.496 5.989 5.989
```

Calculated density = 12.0 g cm⁻³
Crystal system = cubic
SG = Fd-3m
Formation energy = -0.398 eV per atom
Total magnetization = 0.00 μB/f.u.

=====

(5)
Computed, not measured: crystalline Zn3Pt at its relaxed geometry at the GGA-PBEsol level of DFT.

extended XYZ file:
```
8
Lattice="4.832 0.000 0.000 0.000 4.832 0.000 0.000 0.000 4.832" Properties=species:S:1:pos:R:3 pbc="T T T"
Zn 0.000 1.208 2.416
Zn 0.000 3.624 2.416
Zn 1.208 2.416 0.000
Zn 2.416 0.000 1.208
Zn 2.416 0.000 3.624
Zn 3.624 2.416 0.000
Pt 0.000 0.000 0.000
Pt 2.416 2.416 2.416
```

Calculated density = 11.5 g cm⁻³
Crystal system = cubic
SG = Pm-3n
Formation energy = -0.303 eV per atom
Total magnetization = 0.00 μB/f.u.

=====

(6)
Computed, not measured: crystalline ZnPt at its relaxed geometry at the GGA-PBEsol level of DFT.

extended XYZ file:
```
6
Lattice="5.166 -1.396 0.000 5.166 1.396 0.000 -1.618 0.000 5.927" Properties=species:S:1:pos:R:3 pbc="T T T"
Zn 0.000 0.000 0.000
Zn -0.496 0.000 3.455
Zn 5.922 0.000 5.514
Pt 2.379 0.000 4.046
Pt 3.535 0.000 1.514
Pt 6.310 0.000 1.890
```

Calculated density = 15.2 g cm⁻³
Crystal system = monoclinic
SG = Cm
Formation energy = -0.382 eV per atom
Total magnetization = 0.00 μB/f.u.

=====

(7)
Computed, not measured: crystalline Zn2Pt at its relaxed geometry at the GGA-PBEsol level of DFT.

extended XYZ file:
```
6
Lattice="0.000 3.444 3.444 3.444 0.000 3.444 3.444 3.444 0.000" Properties=species:S:1:pos:R:3 pbc="T T T"
Zn 0.000 0.000 0.000
Zn 1.722 1.722 0.000
Zn 1.722 0.000 1.722
Zn 0.000 1.722 1.722
Pt 2.583 2.583 2.583
Pt 4.304 4.304 4.304
```

Calculated density = 13.3 g cm⁻³
Crystal system = cubic
SG = Fd-3m
Formation energy = -0.222 eV per atom
Total magnetization = 0.00 μB/f.u.

=====

(8)
Computed, not measured: crystalline Zn3Pt at its relaxed geometry at the GGA-PBEsol level of DFT.

extended XYZ file:
```
4
Lattice="2.679 -3.733 0.000 2.679 3.733 0.000 0.000 0.000 2.779" Properties=species:S:1:pos:R:3 pbc="T T T"
Zn 0.000 0.000 0.000
Zn 1.339 1.866 1.390
Zn 1.339 -1.866 1.390
Pt 2.679 0.000 0.000
```

Calculated density = 11.7 g cm⁻³
Crystal system = orthorhombic
SG = Cmmm
Formation energy = -0.311 eV per atom
Total magnetization = 0.00 μB/f.u.

=====

(9)
Computed, not measured: crystalline Zn5Pt3 at its relaxed geometry at the GGA-PBEsol level of DFT.

extended XYZ file:
```
8
Lattice="3.619 -3.837 0.000 3.619 3.837 0.000 0.000 0.000 4.015" Properties=species:S:1:pos:R:3 pbc="T T T"
Zn 0.000 0.000 0.000
Zn 1.809 1.919 0.000
Zn 3.619 1.693 2.007
Zn 1.809 -1.919 0.000
Zn 3.619 -1.693 2.007
Pt 1.562 0.000 2.007
Pt 3.619 0.000 0.000
Pt 5.676 0.000 2.007
```

Calculated density = 13.6 g cm⁻³
Crystal system = orthorhombic
SG = Cmmm
Formation energy = -0.464 eV per atom
Total magnetization = 0.00 μB/f.u.

=====

(10)
Computed, not measured: crystalline ZnPt3 at its relaxed geometry at the GGA-PBEsol level of DFT.

extended XYZ file:
```
4
Lattice="2.782 -3.777 0.000 2.782 3.777 0.000 0.000 0.000 2.763" Properties=species:S:1:pos:R:3 pbc="T T T"
Zn 0.000 0.000 0.000
Pt 1.391 1.889 1.381
Pt 1.391 -1.889 1.381
Pt 2.782 0.000 0.000
```

Calculated density = 18.6 g cm⁻³
Crystal system = orthorhombic
SG = Cmmm
Formation energy = -0.328 eV per atom
Total magnetization = 0.00 μB/f.u.

=====

(11)
Computed, not measured: crystalline Zn2Pt at its relaxed geometry at the GGA-PBEsol level of DFT.

extended XYZ file:
```
6
Lattice="2.793 0.000 0.000 1.395 4.840 0.000 0.024 1.511 6.261" Properties=species:S:1:pos:R:3 pbc="T T T"
Zn 0.000 0.000 0.000
Zn 1.407 5.137 3.753
Zn 1.412 2.558 4.153
Zn 2.799 3.530 1.924
Pt 1.405 1.323 1.825
Pt 2.807 4.125 5.722
```

Calculated density = 12.8 g cm⁻³
Crystal system = triclinic
SG = P1
Formation energy = -0.380 eV per atom
Total magnetization = 0.00 μB/f.u.

=====

(12)
Computed, not measured: crystalline Zn3Pt at its relaxed geometry at the GGA-PBEsol level of DFT.

extended XYZ file:
```
4
Lattice="2.848 0.000 0.000 0.000 3.666 0.000 0.000 0.000 5.340" Properties=species:S:1:pos:R:3 pbc="T T T"
Zn 0.000 0.000 0.000
Zn 1.424 1.833 1.344
Zn 1.424 1.833 3.996
Pt 0.000 0.000 2.670
```

Calculated density = 11.7 g cm⁻³
Crystal system = orthorhombic
SG = Pmmm
Formation energy = -0.315 eV per atom
Total magnetization = 0.00 μB/f.u.